{
  "formula": "Dy4Er2LuTe2Pd2",
  "functional": "PBE",
  "state": "optimized geometry",
  "mass_density_kg_m3": 9099,
  "de_polymorph_ev_per_atom": 0.007,
  "lattice": [[-1.959, 7.838, 4.836], [1.959, -7.838, 4.836], [1.959, 7.838, -4.836]],
  "species": ["Dy", "Dy", "Dy", "Dy", "Er", "Er", "Lu", "Te", "Te", "Pd", "Pd"],
  "fractional_positions": [[0.111, 0.793, 0.318], [0.129, 0.000, 0.129], [0.475, 0.793, 0.682], [0.871, 0.000, 0.871], [0.508, 0.150, 0.358], [0.792, 0.150, 0.642], [0.418, 0.418, 0.000], [0.154, 0.654, 0.500], [0.754, 0.754, 0.000], [0.255, 0.490, 0.765], [0.725, 0.490, 0.235]]
}